Entry from the Alexandria database: a geometry-optimized TiTlIr3 structure (PBE-GGA). Values from VASP.

```
&SYSTEM
  ibrav = 0, nat = 5, ntyp = 3
/
ATOMIC_SPECIES
Ti 47.87 Ti.upf
Ir 192.22 Ir.upf
Tl 204.38 Tl.upf
CELL_PARAMETERS angstrom
-3.600 2.654 1.274
-0.720 -2.745 3.684
2.854 2.655 2.536
ATOMIC_POSITIONS crystal
Ti 0.000 0.000 0.000
Ir 0.000 0.500 0.000
Ir 0.500 0.000 0.000
Ir 0.000 0.000 0.500
Tl 0.500 0.500 0.500
```

The energy relative to the elements is 1020 meV/atom. The value obtained for the energy above the most stable polymorph in this dataset is 0.0 kJ per mole of atoms. For the volume, the calculation gives 100.57 Å³/cell. The density of states at the Fermi level is 0.450 states/eV/atom. Its symmetry is Pm-3m, No. 221.